1.
Density functional theory data (PBE) for an optimized crystal structure of Fe4As.

Results
* symmetry: I4/m (87)

Cell and atoms, written as extended XYZ:
```
5
Lattice="-0.842 -3.365 -2.738 -1.258 0.556 4.200 -2.269 3.242 -1.968" Properties=species:S:1:pos:R:3 pbc="T T T"
Fe -1.621 -1.834 -0.914
Fe -1.938 0.708 -1.422
Fe -2.748 2.266 0.408
Fe -2.431 -0.276 0.916
As 0.000 0.000 0.000
```

2.
Density functional theory data (PBE) for an optimized crystal structure of FeAs2.

Results
* symmetry: I4_1/amd (141)

Cell and atoms, written as extended XYZ:
```
6
Lattice="-1.463 1.463 11.664 1.463 -1.463 11.664 1.463 1.463 -11.664" Properties=species:S:1:pos:R:3 pbc="T T T"
Fe 0.000 0.000 0.000
Fe 0.000 1.463 5.832
As 0.000 0.000 13.099
As 1.463 0.000 4.396
As 0.000 0.000 10.228
As 1.463 0.000 7.267
```

3.
Density functional theory data (PBE) for an optimized crystal structure of FeAs5.

Results
* symmetry: F-43m (216)

Cell and atoms, written as extended XYZ:
```
6
Lattice="-3.675 -3.129 -2.620 -4.616 2.241 -1.957 -0.705 0.546 -5.419" Properties=species:S:1:pos:R:3 pbc="T T T"
Fe 0.000 0.000 0.000
As -2.249 -0.085 -2.499
As -5.627 -0.214 -6.252
As -5.273 -0.488 -3.532
As -3.782 1.357 -4.937
As -3.310 -1.339 -5.270
```

4.
Density functional theory data (PBE) for an optimized crystal structure of Fe7As6.

Results
* symmetry: R-3m (166)

Cell and atoms, written as extended XYZ:
```
13
Lattice="8.967 -0.042 -0.026 7.558 4.825 -0.026 7.558 2.188 4.301" Properties=species:S:1:pos:R:3 pbc="T T T"
As 22.736 6.581 4.012
As 1.347 0.390 0.238
As 19.669 5.694 3.471
As 4.413 1.277 0.779
As 16.075 4.653 2.837
As 8.008 2.318 1.413
Fe 14.688 2.956 1.802
Fe 13.996 4.051 3.927
Fe 13.996 5.347 1.802
Fe 9.395 4.015 2.448
Fe 10.087 1.624 2.448
Fe 10.087 2.920 0.322
Fe 12.041 3.486 2.125
```

5.
Density functional theory data (PBE) for an optimized crystal structure of Ga2FeAs2.

Results
* symmetry: P4/mbm (127)

Cell and atoms, written as extended XYZ:
```
10
Lattice="6.054 0.000 0.000 0.000 6.054 0.000 0.000 0.000 4.984" Properties=species:S:1:pos:R:3 pbc="T T T"
As 2.130 5.157 0.000
As 5.157 3.924 0.000
As 3.924 0.897 0.000
As 0.897 2.130 0.000
Fe 0.000 0.000 0.000
Fe 3.027 3.027 0.000
Ga 1.120 4.147 2.492
Ga 4.147 4.935 2.492
Ga 4.935 1.908 2.492
Ga 1.908 1.120 2.492
```

6.
Density functional theory data (PBE) for an optimized crystal structure of GaFe2As.

Results
* symmetry: P4/mmm (123)

Cell and atoms, written as extended XYZ:
```
4
Lattice="2.893 0.000 0.000 0.000 2.893 0.000 0.000 0.000 5.833" Properties=species:S:1:pos:R:3 pbc="T T T"
As 1.447 1.447 0.000
Fe 0.000 0.000 4.443
Fe 0.000 0.000 1.391
Ga 1.447 1.447 2.917
```

7.
Density functional theory data (PBE) for an optimized crystal structure of GaFeAs.

Results
* symmetry: Pmn2_1 (31)

Cell and atoms, written as extended XYZ:
```
6
Lattice="-0.788 -0.800 -2.763 5.022 -2.691 -0.653 -2.437 -5.073 2.164" Properties=species:S:1:pos:R:3 pbc="T T T"
Fe 0.793 -7.402 0.307
Fe 0.189 -3.277 0.895
Ga 4.349 -3.741 -0.157
Ga -2.017 -4.130 0.161
As 0.773 -5.408 1.346
As 1.257 -3.089 -1.074
```

8.
Density functional theory data (PBE) for an optimized crystal structure of Ga2FeAs2.

Results
* symmetry: I4/mmm (139)

Cell and atoms, written as extended XYZ:
```
5
Lattice="-0.996 -1.526 -3.046 2.878 -2.076 0.100 -2.922 -6.972 2.381" Properties=species:S:1:pos:R:3 pbc="T T T"
As 0.304 -2.654 -0.837
As -1.344 -7.920 0.271
Fe 0.000 0.000 0.000
Ga -1.488 -5.150 -1.069
Ga 0.448 -5.425 0.503
```

9.
Density functional theory data (PBE) for an optimized crystal structure of Ga2Fe2As.

Results
* symmetry: P4/mbm (127)

Cell and atoms, written as extended XYZ:
```
10
Lattice="-2.273 -3.448 4.531 -1.882 -4.149 -4.102 3.176 -1.721 0.284" Properties=species:S:1:pos:R:3 pbc="T T T"
As 0.000 0.000 0.000
As -2.077 -3.799 0.214
Fe -2.372 -4.692 -1.903
Fe -3.153 -5.632 1.137
Fe -1.782 -2.906 2.332
Fe -1.002 -1.966 -0.708
Ga 0.030 -4.064 -1.845
Ga -1.488 -6.629 -0.412
Ga -1.008 -5.254 2.558
Ga 0.510 -2.689 1.125
```

10.
Density functional theory data (PBE) for an optimized crystal structure of GaFe2As.

Results
* symmetry: Fm-3m (225)

Cell and atoms, written as extended XYZ:
```
4
Lattice="0.000 2.896 2.896 2.896 0.000 2.896 2.896 2.896 0.000" Properties=species:S:1:pos:R:3 pbc="T T T"
As 2.896 2.896 2.896
Fe 1.448 1.448 1.448
Fe 4.343 4.343 4.343
Ga 0.000 0.000 0.000
```

11.
Density functional theory data (PBE) for an optimized crystal structure of GaFe4As12.

Results
* symmetry: Im-3 (204)

Cell and atoms, written as extended XYZ:
```
17
Lattice="-1.397 3.740 -6.046 -4.807 -5.377 0.679 -0.480 4.406 5.731" Properties=species:S:1:pos:R:3 pbc="T T T"
Ga 0.000 0.000 0.000
Fe -2.404 -2.689 0.339
Fe -0.698 1.870 -3.023
Fe -3.342 1.384 0.182
Fe -0.240 2.203 2.865
As -2.915 2.160 -3.808
As -2.929 -0.708 -0.851
As -2.187 5.113 -1.030
As -1.789 3.996 2.916
As -4.498 -2.344 1.393
As -3.756 3.477 1.215
As -1.592 2.531 -0.930
As -5.093 0.238 1.293
As -4.896 -1.227 -2.552
As -4.591 1.852 -1.777
As -2.094 0.917 2.141
As -3.769 0.609 4.172
```

12.
Density functional theory data (PBE) for an optimized crystal structure of GaFeAsIr2.

Results
* symmetry: P4/mmm (123)

Cell and atoms, written as extended XYZ:
```
5
Lattice="-3.418 2.885 -0.373 -0.829 -1.502 -4.010 -2.781 -3.072 1.725" Properties=species:S:1:pos:R:3 pbc="T T T"
As -3.514 -0.845 -1.329
Ir -1.390 -1.536 0.863
Ir -1.709 1.442 -0.187
Fe 0.000 0.000 0.000
Ga -0.415 -0.751 -2.005
```

13.
Density functional theory data (PBE) for an optimized crystal structure of Ga2FeAsIr.

Results
* symmetry: P4/mmm (123)

Cell and atoms, written as extended XYZ:
```
5
Lattice="4.492 0.000 0.000 0.000 4.505 0.000 0.000 0.000 4.492" Properties=species:S:1:pos:R:3 pbc="T T T"
As 2.246 2.252 2.246
Ir 0.000 2.252 0.000
Fe 0.000 0.000 0.000
Ga 0.000 0.000 2.246
Ga 2.246 0.000 0.000
```

14.
Density functional theory data (PBE) for an optimized crystal structure of Ga2FeNiAs.

Results
* symmetry: P4/mmm (123)

Cell and atoms, written as extended XYZ:
```
5
Lattice="4.952 0.000 0.000 0.000 4.278 0.000 0.000 0.000 4.952" Properties=species:S:1:pos:R:3 pbc="T T T"
Ni 0.000 2.139 0.000
As 0.000 0.000 0.000
Fe 2.476 2.139 2.476
Ga 0.000 0.000 2.476
Ga 2.476 0.000 0.000
```

Number 1: formation energy from the elements 0.026 eV/atom, raw total energy -7.674 eV per atom. Number 2: formation energy from the elements 0.000 eV/atom, raw total energy -5.921 eV per atom. Number 3: formation energy from the elements 0.755 eV/atom, raw total energy -4.530 eV per atom. Number 4: formation energy from the elements 0.079 eV/atom, raw total energy -6.623 eV per atom. Number 5: formation energy from the elements 0.109 eV/atom, raw total energy -4.654 eV per atom. Number 6: formation energy from the elements -0.001 eV/atom, raw total energy -6.151 eV per atom. Number 7: formation energy from the elements -0.099 eV/atom, raw total energy -5.478 eV per atom. Number 8: formation energy from the elements 0.341 eV/atom, raw total energy -4.422 eV per atom. Number 9: formation energy from the elements 0.028 eV/atom, raw total energy -5.498 eV per atom. Number 10: formation energy from the elements 0.031 eV/atom, raw total energy -6.119 eV per atom. Number 11: formation energy from the elements -0.145 eV/atom, raw total energy -5.597 eV per atom. Number 12: formation energy from the elements 0.966 eV/atom, raw total energy -5.806 eV per atom. Number 13: formation energy from the elements 0.557 eV/atom, raw total energy -5.048 eV per atom. Number 14: formation energy from the elements 0.835 eV/atom, raw total energy -4.154 eV per atom.